A plane-wave DFT calculation with PBE was carried out for a relaxed Sc3AgSn crystal.

Lattice parameters (Å, degrees): 5.1204 5.1204 5.1204 90.00 90.00 90.00
Last column: nearest neighbours and their distance in Å.
Space group Pm-3m (No. 221)
One atom of each set of equivalent atoms:
1 Sc 0.0000 0.0000 0.5000 [3 per cell]  2 Ag 2.56
2 Ag 0.0000 0.0000 0.0000 [1 per cell]  6 Sc 2.56
3 Sn 0.5000 0.5000 0.5000 [1 per cell]  12 Sc 3.62

The calculation puts the density of states at the Fermi level at 8.0 states/eV/cell. Its calculated formation energy is 126 meV per atom. The total energy is -5.04 eV per atom. The total magnetic moment is 0.00 μB per formula unit. For the excess energy over the best structure of this formula in the dataset, the calculation gives 0.000 eV per atom.



A plane-wave DFT calculation with PBE was carried out for a relaxed BaSmTl4O8 crystal.

Lattice parameters (Å, degrees): 7.0931 7.0931 17.3415 90.00 90.00 120.00
Last column: nearest neighbours and their distance in Å.
Space group R3m (No. 160, hexagonal axes)
One atom of each set of equivalent atoms:
1 Ba 0.0000 0.0000 0.0000 [3 per cell]  4 O 2.49-2.56
2 Sm 0.0000 0.0000 0.6217 [3 per cell]  6 O 2.32-2.43
3 Tl 0.0000 0.0000 0.2462 [3 per cell]  4 O 2.34-2.44
4 Tl 0.1687 0.3374 0.4548 [9 per cell]  6 O 2.31-2.41
5 O 0.0000 0.0000 0.3872 [3 per cell]  4 Tl 2.38-2.44
6 O 0.0000 0.0000 0.8524 [3 per cell]  3 Tl 2.31, 1 Ba 2.56
7 O 0.0525 0.5263 0.3779 [9 per cell]  2 Tl 2.31, 1 Sm 2.32, 1 Ba 2.49
8 O 0.1795 0.3590 0.2003 [9 per cell]  3 Tl 2.34-2.41, 1 Sm 2.43

For the formation energy from raw total energies, the calculation gives -1411 meV per atom. The calculation puts the density of states at the Fermi level at 7.0 states/eV/cell. The total energy is -5.39 eV per atom. The total magnetic moment is 0.00 μB per formula unit.



A plane-wave DFT calculation with PBE was carried out for a relaxed Ca2Sn2Hg crystal.

Lattice parameters (Å, degrees): 4.2016 4.2016 17.5160 90.00 90.00 90.00
Last column: nearest neighbours and their distance in Å.
Space group I4/mmm (No. 139)
One atom of each set of equivalent atoms:
1 Ca 0.0000 0.0000 0.1006 [4 per cell]  4 Sn 3.36, 4 Hg 3.45, 1 Ca 3.52
2 Sn 0.0000 0.5000 0.2500 [4 per cell]  4 Sn 2.97
3 Hg 0.0000 0.0000 0.5000 [2 per cell]  8 Ca 3.45

The calculation puts the density of states at the Fermi level at 6.2 states/eV/cell. Its calculated formation energy is -330 meV per atom. The total energy is -2.79 eV per atom. The total magnetic moment is 0.00 μB per formula unit. For the excess energy over the best structure of this formula in the dataset, the calculation gives 0.205 eV per atom.